A relaxed LiErIr crystal, computed with PBE.

- Formation energy from the elements: -66 kJ/mol of formula units
- Polymorph energy (0 for the lowest one): 229 meV per atom

Cell lengths 3.187, 4.556, 4.434 Å; angles 90.00, 90.18, 90.00 degrees
Space group P2/m (No. 10)
Inequivalent atoms, fractional coordinates:
Li 0.000 0.000 0.000 [1 per cell]
Er 0.000 0.500 0.500 [1 per cell]
Ir 0.500 0.000 0.500 [1 per cell]